{
  "formula": "VFeTeO6",
  "functional": "PBE+U",
  "state": "optimized geometry",
  "cell": [[5.1341, 0.0000, 0.0000], [-2.5671, 4.4463, 0.0000], [0.0000, 0.0000, 8.8243]],
  "species": ["O", "O", "O", "O", "O", "Te", "O", "O", "Fe", "O", "O", "Te", "V", "O", "O", "V", "Fe", "O"],
  "frac_coords": [[0.3455, 0.3337, 0.3703], [0.3455, 0.0118, 0.1297], [0.3337, 0.3455, 0.8703], [0.6663, 0.0118, 0.3703], [0.3337, 0.9882, 0.6297], [0.6667, 0.3333, 0.2500], [0.9882, 0.6545, 0.3703], [0.0118, 0.6663, 0.8703], [0.0000, 0.0000, 0.0000], [0.6545, 0.9882, 0.8703], [0.0118, 0.3455, 0.6297], [0.3333, 0.6667, 0.7500], [0.6667, 0.3333, 0.7500], [0.6663, 0.6545, 0.1297], [0.6545, 0.6663, 0.6297], [0.3333, 0.6667, 0.2500], [0.0000, 0.0000, 0.5000], [0.9882, 0.3337, 0.1297]],
  "total_energy_ev_per_cell": -116.83,
  "magmom_total_mub_per_fu": 7.00,
  "vol_a3_per_atom": 11.2
}